1.
Here is a relaxed structure of La2TlAuO5 from the Alexandria database. Energies are from PBE.

Computed properties:
* formation energy from raw total energies: -2.05 eV/atom

Structure (CIF):
```
data_La2TlAuO5
_chemical_formula_sum 'La4 Tl2 Au2 O10'
_space_group_name_H-M_alt 'P 4/m b m'
_space_group_IT_number 127
_space_group_name_Hall '-P 4 2ab'
_cell_length_a 7.025
_cell_length_b 7.025
_cell_length_c 6.022
_cell_angle_alpha 90.00
_cell_angle_beta 90.00
_cell_angle_gamma 90.00
loop_
_atom_site_label
_atom_site_type_symbol
_atom_site_fract_x
_atom_site_fract_y
_atom_site_fract_z
La1 La 0.182 0.318 0.000
Tl1 Tl 0.000 0.000 0.500
Au1 Au 0.000 0.500 0.500
O1 O 0.000 0.000 0.000
O2 O 0.132 0.632 0.244
```

---

2.
Here is a relaxed structure of AlCoNiRh from the Alexandria database. Energies are from PBE.

Computed properties:
* energy of formation: -0.3508 eV/atom

Structure (CIF):
```
data_AlCoNiRh
_chemical_formula_sum 'Al4 Co4 Ni4 Rh4'
_space_group_name_H-M_alt 'F -4 3 m'
_space_group_IT_number 216
_space_group_name_Hall 'F -4 2 3'
_cell_length_a 5.849
_cell_length_b 5.849
_cell_length_c 5.849
_cell_angle_alpha 90.00
_cell_angle_beta 90.00
_cell_angle_gamma 90.00
loop_
_atom_site_label
_atom_site_type_symbol
_atom_site_fract_x
_atom_site_fract_y
_atom_site_fract_z
Al1 Al 0.000 0.000 0.000
Co1 Co 0.000 0.000 0.500
Ni1 Ni 0.250 0.250 0.250
Rh1 Rh 0.250 0.250 0.750
```

---

Number 1: density 8.5 g/cm³. Number 2: density 8.2 g/cm³.